1.
Computed, not measured: crystalline InHgB at its relaxed geometry at the PBE level of DFT.

Summary:
As for the total energy: -16.67 eV for the cell shown. The value obtained for the density of states at the Fermi level is 0.275 states/eV per atom. As for the crystal system: triclinic. The calculated formation energy comes out at 0.461 eV per atom.

Cell lengths 3.896, 5.665, 6.580 Å; angles 83.75, 72.84, 70.00 degrees
Space group P1 (No. 1)
One atom of each set of equivalent atoms:
1 In 0.000 0.000 0.000 x1
2 In 0.416 0.427 0.739 x1
3 Hg 0.593 0.507 0.303 x1
4 Hg 0.788 0.908 0.514 x1
5 B 0.661 0.745 0.932 x1
6 B 0.810 0.440 0.938 x1

***

2.
Computed, not measured: crystalline Fe2ReI at its relaxed geometry at the PBE level of DFT.

Summary:
The energy relative to the elements, uncorrected is 1.17 eV per atom. As for the total energy: -104.99 eV for the cell shown. The value obtained for the density of states at the Fermi level is 0.688 states/eV per atom. As for the crystal system: cubic.

Cell lengths 6.221, 6.221, 6.221 Å; angles 90.00, 90.00, 90.00 degrees
Space group Fm-3m (No. 225)
One atom of each set of equivalent atoms:
1 Fe 0.250 0.250 0.250 x8
2 Re 0.000 0.000 0.000 x4
3 I 0.000 0.000 0.500 x4